1.
## CsTiFeS3 (GGA-PBE)

Data for a relaxed structure of CsTiFeS3. Values from VASP.

Quantum ESPRESSO input file:
```
&SYSTEM
  ibrav = 0, nat = 12, ntyp = 4
/
ATOMIC_SPECIES
Ti 47.87 Ti.upf
Fe 55.84 Fe.upf
S 32.06 S.upf
Cs 132.91 Cs.upf
CELL_PARAMETERS angstrom
-0.1773 1.8289 3.0541
6.5319 -5.1659 3.4728
2.5599 7.9505 -4.6125
ATOMIC_POSITIONS crystal
Ti 0.2500 0.6810 0.1528
Ti 0.7500 0.3190 0.8472
Fe 0.2500 0.0854 0.6056
Fe 0.7500 0.9146 0.3944
S 0.7500 0.4815 0.1422
S 0.7500 0.8609 0.1425
S 0.7500 0.1866 0.5497
S 0.2500 0.5185 0.8578
S 0.2500 0.1391 0.8575
S 0.2500 0.8134 0.4503
Cs 0.7500 0.7702 0.7478
Cs 0.2500 0.2298 0.2522
```

Results
Formation energy without anion corrections: -1.076 eV/atom
D(E_F): 0.440 states/eV/atom
V: 271 Å³ per cell
M_tot: 0.00 μB/cell
Space-group type: No. 11

=====

2.
## Mo2SeCl (GGA-PBE)

Data for a relaxed structure of Mo2SeCl. Values from VASP.

Quantum ESPRESSO input file:
```
&SYSTEM
  ibrav = 0, nat = 4, ntyp = 3
/
ATOMIC_SPECIES
Mo 95.94 Mo.upf
Cl 35.45 Cl.upf
Se 78.96 Se.upf
CELL_PARAMETERS angstrom
3.4457 0.0000 0.0000
0.0000 3.4468 0.0000
0.0000 0.0000 7.3698
ATOMIC_POSITIONS crystal
Mo 0.0000 0.0000 0.0527
Mo 0.5000 0.5000 0.2027
Cl 0.5000 0.5000 0.8581
Se 0.0000 0.0000 0.3865
```

Results
Formation energy without anion corrections: 0.050 eV/atom
Polymorph energy (0 for the lowest one): 243 meV per atom
D(E_F): 0.290 states/eV/atom
V: 88 Å³ per cell
M_tot: 0.00 μB/cell
Space-group type: No. 99

=====

3.
## Mg5ScAg3 (GGA-PBE)

Data for a relaxed structure of Mg5ScAg3. Values from VASP.

Quantum ESPRESSO input file:
```
&SYSTEM
  ibrav = 0, nat = 18, ntyp = 3
/
ATOMIC_SPECIES
Mg 24.30 Mg.upf
Ag 107.87 Ag.upf
Sc 44.96 Sc.upf
CELL_PARAMETERS angstrom
-2.2234 -6.4564 1.5899
5.0518 -2.8253 -3.9565
7.3703 -6.5598 5.3730
ATOMIC_POSITIONS crystal
Mg 0.5602 0.0342 0.6288
Mg 0.0342 0.5602 0.6288
Mg 0.2667 0.7333 0.0000
Mg 0.7333 0.2667 0.0000
Mg 0.3569 0.3569 0.4218
Mg 0.4398 0.9658 0.3712
Mg 0.6704 0.6704 0.0778
Mg 0.3296 0.3296 0.9222
Mg 0.9658 0.4398 0.3712
Mg 0.6431 0.6431 0.5782
Ag 0.0000 0.0000 0.0000
Ag 0.3111 0.3111 0.6916
Ag 0.6655 0.6655 0.8231
Ag 0.3345 0.3345 0.1769
Ag 0.6889 0.6889 0.3084
Ag 0.0000 0.0000 0.5000
Sc 0.0009 0.0009 0.2545
Sc 0.9991 0.9991 0.7455
```

Results
Energy: -2.484 eV per atom
D(E_F): 0.585 states/eV/atom
V: 435 Å³ per cell
M_tot: 0.00 μB/cell
Space-group type: No. 12

=====

4.
## BaVN2Cl (GGA-PBE)

Data for a relaxed structure of BaVN2Cl. Values from VASP.

Quantum ESPRESSO input file:
```
&SYSTEM
  ibrav = 0, nat = 5, ntyp = 4
/
ATOMIC_SPECIES
N 14.01 N.upf
Cl 35.45 Cl.upf
V 50.94 V.upf
Ba 137.33 Ba.upf
CELL_PARAMETERS angstrom
4.8449 0.0000 0.0000
0.0000 4.1972 0.0000
0.0000 0.0000 4.8449
ATOMIC_POSITIONS crystal
N 0.0000 0.0000 0.5000
N 0.5000 0.0000 0.0000
Cl 0.0000 0.0000 0.0000
V 0.0000 0.5000 0.0000
Ba 0.5000 0.5000 0.5000
```

Results
Formation energy without anion corrections: 1.329 eV/atom
D(E_F): 0.816 states/eV/atom
V: 99 Å³ per cell
M_tot: 1.65 μB/cell
Space-group type: No. 123

=====

5.
## NdDyHoLu (GGA-PBE)

Data for a relaxed structure of NdDyHoLu. Values from VASP.

Quantum ESPRESSO input file:
```
&SYSTEM
  ibrav = 0, nat = 4, ntyp = 4
/
ATOMIC_SPECIES
Dy 162.50 Dy.upf
Lu 174.97 Lu.upf
Ho 164.93 Ho.upf
Nd 144.24 Nd.upf
CELL_PARAMETERS angstrom
5.6608 0.0000 0.0000
2.8304 4.9024 0.0000
2.8304 1.6341 4.6220
ATOMIC_POSITIONS crystal
Dy 0.0000 0.0000 0.0000
Lu 0.7500 0.7500 0.7500
Ho 0.2500 0.2500 0.2500
Nd 0.5000 0.5000 0.5000
```

Results
Energy: -4.503 eV per atom
D(E_F): 1.610 states/eV/atom
V: 128 Å³ per cell
M_tot: 0.00 μB/cell
Space-group type: No. 216

=====

6.
## Li3Dy4Ir2 (GGA-PBE)

Data for a relaxed structure of Li3Dy4Ir2. Values from VASP.

Quantum ESPRESSO input file:
```
&SYSTEM
  ibrav = 0, nat = 9, ntyp = 3
/
ATOMIC_SPECIES
Ir 192.22 Ir.upf
Dy 162.50 Dy.upf
Li 6.94 Li.upf
CELL_PARAMETERS angstrom
4.8003 0.0003 0.0003
2.4000 4.1228 0.5367
-0.0005 -1.2654 9.7233
ATOMIC_POSITIONS crystal
Ir 0.6667 0.6667 0.1973
Ir 0.3333 0.3333 0.8027
Dy 0.3333 0.3333 0.1114
Dy 0.6667 0.6667 0.8886
Dy 0.0000 0.0000 0.6894
Dy 0.0000 0.0000 0.3106
Li 0.0000 0.0000 0.0000
Li 0.3333 0.3334 0.5140
Li 0.6667 0.6666 0.4860
```

Results
Energy: -5.101 eV per atom
D(E_F): 0.496 states/eV/atom
V: 196 Å³ per cell
M_tot: 0.00 μB/cell
Space-group type: No. 164

=====

7.
## Ti5Zn4In (GGA-PBE)

Data for a relaxed structure of Ti5Zn4In. Values from VASP.

Quantum ESPRESSO input file:
```
&SYSTEM
  ibrav = 0, nat = 10, ntyp = 3
/
ATOMIC_SPECIES
Ti 47.87 Ti.upf
Zn 65.41 Zn.upf
In 114.82 In.upf
CELL_PARAMETERS angstrom
-3.0300 -0.5544 -0.2419
0.4641 -2.9233 0.8863
-2.1410 4.5971 16.2846
ATOMIC_POSITIONS crystal
Ti 0.5000 0.5000 0.6890
Ti 0.5000 0.5000 0.5000
Ti 0.5000 0.5000 0.8820
Ti 0.5000 0.5000 0.3110
Ti 0.5000 0.5000 0.1180
Zn 0.0000 0.0000 0.4057
Zn 0.0000 0.0000 0.7841
Zn 0.0000 0.0000 0.2159
Zn 0.0000 0.0000 0.5943
In 0.0000 0.0000 0.0000
```

Results
Energy: -4.891 eV per atom
D(E_F): 0.532 states/eV/atom
V: 163 Å³ per cell
M_tot: 0.00 μB/cell
Space-group type: No. 123

=====

8.
## TbGdPa (GGA-PBE)

Data for a relaxed structure of TbGdPa. Values from VASP.

Quantum ESPRESSO input file:
```
&SYSTEM
  ibrav = 0, nat = 3, ntyp = 3
/
ATOMIC_SPECIES
Pa 231.04 Pa.upf
Tb 158.93 Tb.upf
Gd 157.25 Gd.upf
CELL_PARAMETERS angstrom
-1.8661 1.4383 2.4548
-0.8245 -3.0832 1.1797
7.4365 0.9390 2.7449
ATOMIC_POSITIONS crystal
Pa 0.3331 0.3331 0.6663
Tb 0.9888 0.9888 0.9775
Gd 0.6781 0.6781 0.3562
```

Results
Polymorph energy (0 for the lowest one): 20 meV per atom
D(E_F): 1.635 states/eV/atom
V: 88 Å³ per cell
M_tot: 6.89 μB/cell
Space-group type: No. 107

=====

9.
## YPIr2 (GGA-PBE)

Data for a relaxed structure of YPIr2. Values from VASP.

Quantum ESPRESSO input file:
```
&SYSTEM
  ibrav = 0, nat = 4, ntyp = 3
/
ATOMIC_SPECIES
P 30.97 P.upf
Ir 192.22 Ir.upf
Y 88.91 Y.upf
CELL_PARAMETERS angstrom
-3.5683 -3.0112 2.4882
-4.2303 2.6125 1.8084
2.7504 -1.1833 -4.3619
ATOMIC_POSITIONS crystal
P 0.5294 0.5294 0.0000
Ir 0.9864 0.9864 0.0000
Ir 0.7135 0.2135 0.5000
Y 0.2707 0.7707 0.5000
```

Results
Energy: -7.798 eV per atom
D(E_F): 0.475 states/eV/atom
V: 68 Å³ per cell
M_tot: 0.00 μB/cell
Space-group type: No. 44

=====

10.
## Cs3AlS3 (GGA-PBE)

Data for a relaxed structure of Cs3AlS3. Values from VASP.

Quantum ESPRESSO input file:
```
&SYSTEM
  ibrav = 0, nat = 28, ntyp = 3
/
ATOMIC_SPECIES
Cs 132.91 Cs.upf
S 32.06 S.upf
Al 26.98 Al.upf
CELL_PARAMETERS angstrom
-2.7113 6.5471 4.3777
-3.9569 -5.7555 6.1570
12.2110 1.1339 5.8669
ATOMIC_POSITIONS crystal
Cs 0.7253 0.6106 0.5762
Cs 0.1429 0.0777 0.1379
Cs 0.7182 0.3234 0.7906
Cs 0.7818 0.3234 0.2906
Cs 0.6429 0.9223 0.3621
Cs 0.2253 0.3894 0.9238
Cs 0.2182 0.6766 0.7094
Cs 0.2747 0.3894 0.4238
Cs 0.2818 0.6766 0.2094
Cs 0.8571 0.9223 0.8621
Cs 0.7747 0.6106 0.0762
Cs 0.3571 0.0777 0.6379
S 0.1735 0.7653 0.9757
S 0.3265 0.7653 0.4757
S 0.5544 0.9327 0.1039
S 0.9456 0.9327 0.6039
S 0.4456 0.0673 0.8961
S 0.0618 0.3360 0.6429
S 0.8265 0.2347 0.0243
S 0.4382 0.3360 0.1429
S 0.6735 0.2347 0.5243
S 0.5618 0.6640 0.8571
S 0.0544 0.0673 0.3961
S 0.9382 0.6640 0.3571
Al 0.5733 0.1579 0.0461
Al 0.4267 0.8421 0.9539
Al 0.9267 0.1579 0.5461
Al 0.0733 0.8421 0.4539
```

Results
Formation energy without anion corrections: -1.263 eV/atom
Polymorph energy (0 for the lowest one): 0 meV per atom
D(E_F): 0.000 states/eV/atom
V: 1043 Å³ per cell
M_tot: 0.00 μB/cell
Space-group type: No. 14